# ZnTe2Br | the Alexandria database | GGA-PBEsol | relaxed
data_ZnTe2Br
_chemical_formula_sum 'Zn2 Te4 Br2'
_cell_length_a 5.364
_cell_length_b 5.364
_cell_length_c 9.612
_cell_angle_alpha 106.20
_cell_angle_beta 106.20
_cell_angle_gamma 90.00
_space_group_name_H-M_alt 'P 1'
_space_group_IT_number 1
_space_group_name_Hall 'P 1'
loop_
_atom_site_label
_atom_site_type_symbol
_atom_site_fract_x
_atom_site_fract_y
_atom_site_fract_z
_atom_site_occupancy
Te1 Te 0.492 0.875 0.250 1
Te2 Te 0.758 0.375 0.250 1
Te3 Te 0.625 0.508 0.750 1
Te4 Te 0.125 0.242 0.750 1
Br1 Br 0.250 0.750 0.500 1
Br2 Br 0.000 0.000 0.000 1
Zn1 Zn 0.750 0.250 0.500 1
Zn2 Zn 0.500 0.500 0.000 1
# - calculated volume (Å³ per cell) = 254.1
# - size of the total moment (μB per formula unit) = 0.00
# - E (eV per formula unit) = -10.03
# - energy relative to the lowest polymorph listed for this composition (eV/f.u.) = 0.55
# - SG = I-42d, No. 122
# - formation energy without anion corrections (eV/atom) = 0.118